# 1
! PuAlGa3 | Alexandria | PBE-GGA | relaxed; values from VASP
&SYSTEM
  ibrav = 0, nat = 10, ntyp = 3
/
ATOMIC_SPECIES
Pu 244.00 Pu.upf
Al 26.98 Al.upf
Ga 69.72 Ga.upf
CELL_PARAMETERS angstrom
4.578 0.000 0.000
-2.277 5.287 0.000
-2.285 -1.271 7.919
ATOMIC_POSITIONS crystal
Pu 0.031 0.352 0.211
Pu 0.969 0.648 0.789
Al 0.162 0.216 0.610
Al 0.838 0.784 0.390
Ga 0.306 0.936 0.179
Ga 0.352 0.267 0.937
Ga 0.384 0.721 0.546
Ga 0.616 0.279 0.454
Ga 0.648 0.733 0.063
Ga 0.694 0.064 0.821
! * calculated density: 8.32 g/cm³
! * energy of formation: -277.2 meV per atom
! * calculated volume: 19.17 A^3/atom
! * energy relative to the lowest polymorph listed for this composition: 0 meV/atom
! * space group: P-1 (2)

# 2
! MgB4 | Alexandria | PBE-GGA | relaxed; values from VASP
&SYSTEM
  ibrav = 0, nat = 5, ntyp = 2
/
ATOMIC_SPECIES
Mg 24.30 Mg.upf
B 10.81 B.upf
CELL_PARAMETERS angstrom
4.296 0.000 0.000
0.000 4.296 0.000
0.000 0.000 4.296
ATOMIC_POSITIONS crystal
Mg 0.000 0.000 0.000
B 0.000 0.000 0.500
B 0.000 0.500 0.000
B 0.500 0.000 0.000
B 0.500 0.500 0.500
! * calculated density: 1.41 g/cm³
! * energy of formation: 3094.8 meV per atom
! * calculated volume: 15.86 A^3/atom
! * energy relative to the lowest polymorph listed for this composition: 3236 meV/atom
! * space group: Pm-3m (221)